[1]
A relaxed structure of Ag3SbBr7. Source: Alexandria via LeMat-Bulk, functional GGA-PBE.

Results
The space-group type is Cm (8). The calculation puts the uncorrected formation energy at -0.38 eV/atom.

```
Ag3SbBr7
1.0
6.7858 -4.2520 0.0000
6.7858 4.2520 0.0000
-2.7535 0.0000 6.7346
Ag Sb Br
3 1 7
Cartesian
0.0000 0.0000 0.0000 Ag
3.7124 1.9829 2.9240 Ag
3.7124 -1.9829 2.9240 Ag
2.3010 0.0000 6.1310 Sb
1.4767 1.9796 4.4396 Br
2.5801 0.0000 1.2656 Br
5.8880 2.0681 1.3380 Br
1.4767 -1.9796 4.4396 Br
4.7443 0.0000 5.0552 Br
5.8880 -2.0681 1.3380 Br
11.3714 0.0000 4.1692 Br
```

=====

[2]
A relaxed structure of Ti5Ga4Au. Source: Alexandria via LeMat-Bulk, functional GGA-PBE.

Results
The polymorph energy (0 for the lowest one) is 308 meV/atom. Its energy relative to the elements is -141.8 meV/atom. The space-group type is I4 (79).

```
Ti5Ga4Au
1.0
-4.0298 4.0298 2.7018
4.0298 -4.0298 2.7018
4.0298 4.0298 -2.7018
Ti Ga Au
5 4 1
Cartesian
0.0000 0.0000 0.0000 Ti
5.5768 -0.6492 1.3788 Ti
2.4828 0.6492 1.3788 Ti
-0.6492 2.4828 1.3788 Ti
0.6492 5.5768 1.3788 Ti
3.2393 -1.8424 1.3925 Ga
4.8204 1.8424 1.3925 Ga
1.8424 3.2393 1.3925 Ga
-1.8424 4.8204 1.3925 Ga
0.0000 0.0000 2.6704 Au
```

=====

[3]
A relaxed structure of Ho2Al4GeAu3. Source: Alexandria via LeMat-Bulk, functional GGA-PBE.

Results
Its energy relative to the elements is -622.3 meV/atom. The space-group type is P-4m2 (115).

```
Ho2Al4GeAu3
1.0
4.2830 0.0000 0.0000
0.0000 4.2830 0.0000
0.0000 0.0000 10.7158
Ho Al Ge Au
2 4 1 3
Cartesian
0.0000 2.1415 2.6547 Ho
2.1415 0.0000 8.0611 Ho
0.0000 0.0000 5.3579 Al
0.0000 2.1415 9.2459 Al
2.1415 0.0000 1.4699 Al
2.1415 2.1415 5.3579 Al
2.1415 2.1415 0.0000 Ge
0.0000 0.0000 0.0000 Au
0.0000 2.1415 6.8097 Au
2.1415 0.0000 3.9061 Au
```

=====

[4]
A relaxed structure of Mg2ZnCu. Source: Alexandria via LeMat-Bulk, functional GGA-PBE.

Results
Its energy relative to the elements is -11.3 meV/atom. The space-group type is F-43m (216).

```
Mg2ZnCu
1.0
6.3856 0.0000 0.0000
0.0000 6.3856 0.0000
0.0000 0.0000 6.3856
Mg Zn Cu
8 4 4
Cartesian
0.0000 0.0000 0.0000 Mg
0.0000 3.1928 3.1928 Mg
1.5964 1.5964 1.5964 Mg
1.5964 4.7892 4.7892 Mg
3.1928 0.0000 3.1928 Mg
3.1928 3.1928 0.0000 Mg
4.7892 1.5964 4.7892 Mg
4.7892 4.7892 1.5964 Mg
1.5964 1.5964 4.7892 Zn
1.5964 4.7892 1.5964 Zn
4.7892 1.5964 1.5964 Zn
4.7892 4.7892 4.7892 Zn
0.0000 0.0000 3.1928 Cu
0.0000 3.1928 0.0000 Cu
3.1928 0.0000 0.0000 Cu
3.1928 3.1928 3.1928 Cu
```